V2ZnPN, relaxed, DFT GGA-PBE; V = 86 Å³/cell; calculated total energy = -5.409 eV/atom; magnetic moment = 4.65 Bohr magnetons per cell
1.0
4.4825 0.0000 0.0000
0.0000 4.4825 0.0000
0.0000 0.0000 4.3006
V Zn P N
2 1 1 1
Direct
0.0000 0.5000 0.0000
0.5000 0.0000 0.0000
0.0000 0.0000 0.5000
0.0000 0.0000 0.0000
0.5000 0.5000 0.5000